First-principles (PBE-GGA) data for crystalline Sr2CdN at its relaxed geometry, as listed in Alexandria via LeMat-Bulk.

a b c (Å): 3.700 3.700 9.156
angles (deg): 90.00 90.00 120.01
Fractional positions:
Sr1 0.466 0.534 0.661
Cd1 0.800 0.200 0.000
Sr2 0.466 0.534 0.339
N1 0.133 0.867 0.500

Summary:
- Symmetry: P-6m2
- Total magnetic moment: 0.00 μB/f.u.
- Excess energy over the best structure of this formula in the dataset: 130.8 meV/atom